Here is a geometry-optimized MgSc2Pa structure from the Alexandria database. Energies are from GGA-PBE.

Summary:
**Excess energy over the best structure of this formula in the dataset**: 0.00 eV per formula unit
**Formation enthalpy at 0 K**: 1.9 kJ per mole of atoms
**Calculated density**: 6.0 g/cm³
**N(E_F)**: 5.5 states/eV/f.u.

Lattice parameters (Å, degrees): 3.220 3.220 9.258 90.00 90.00 90.00
Sites, in units of the cell vectors:
Sc 0.000 0.000 0.248
Sc 0.000 0.000 0.752
Mg 0.500 0.500 0.000
Pa 0.500 0.500 0.500

=====

Here is a geometry-optimized CsHgTe2I structure from the Alexandria database. Energies are from GGA-PBE.

Summary:
**Excess energy over the best structure of this formula in the dataset**: 3.40 eV per formula unit
**Calculated density**: 2.7 g/cm³
**N(E_F)**: 9.7 states/eV/f.u.

Lattice parameters (Å, degrees): 7.714 7.714 7.276 90.00 90.00 90.00
Sites, in units of the cell vectors:
Te 0.000 0.500 0.000
Te 0.500 0.000 0.000
Hg 0.500 0.500 0.500
Cs 0.000 0.000 0.000
I 0.000 0.000 0.500

=====

Here is a geometry-optimized CrCd2Sb structure from the Alexandria database. Energies are from GGA-PBE.

Summary:
**Electronic total energy**: -3.629 eV per atom
**Calculated density**: 7.3 g/cm³
**N(E_F)**: 1.5 states/eV/f.u.

Lattice parameters (Å, degrees): 5.044 5.044 5.847 79.74 79.74 38.12
Sites, in units of the cell vectors:
Cd 0.007 0.007 0.956
Cd 0.757 0.757 0.749
Cr 0.499 0.499 0.504
Sb 0.237 0.237 0.291

=====

Here is a geometry-optimized Tb5Pm8Th structure from the Alexandria database. Energies are from GGA-PBE.

Summary:
**Formation enthalpy at 0 K**: 27.0 kJ per mole of atoms
**Calculated density**: 7.5 g/cm³
**N(E_F)**: 22.2 states/eV/f.u.

Lattice parameters (Å, degrees): 8.562 8.562 8.562 110.91 106.62 110.91
Sites, in units of the cell vectors:
Tb 0.033 0.314 0.127
Tb 0.813 0.686 0.719
Tb 0.873 0.905 0.187
Tb 0.281 0.095 0.967
Tb 0.500 0.000 0.500
Pm 0.342 0.273 0.429
Pm 0.571 0.913 0.843
Pm 0.078 0.739 0.474
Pm 0.734 0.261 0.339
Pm 0.157 0.727 0.069
Pm 0.931 0.087 0.658
Pm 0.661 0.395 0.922
Pm 0.526 0.605 0.266
Th 0.250 0.500 0.750

=====

Here is a geometry-optimized TaIn2As structure from the Alexandria database. Energies are from GGA-PBE.

Summary:
**Formation enthalpy at 0 K**: 32.4 kJ per mole of atoms
**Calculated density**: 9.8 g/cm³
**N(E_F)**: 1.3 states/eV/f.u.

Lattice parameters (Å, degrees): 5.557 5.557 5.557 135.66 135.66 64.50
Sites, in units of the cell vectors:
In 0.250 0.750 0.500
In 0.000 0.000 0.000
Ta 0.500 0.500 0.000
As 0.750 0.250 0.500

=====

Here is a geometry-optimized HgPRu structure from the Alexandria database. Energies are from GGA-PBE.

Summary:
**Excess energy over the best structure of this formula in the dataset**: 0.07 eV per formula unit
**Formation enthalpy at 0 K**: -0.7 kJ per mole of atoms
**Calculated density**: 10.7 g/cm³
**N(E_F)**: 2.2 states/eV/f.u.

Lattice parameters (Å, degrees): 6.150 6.150 6.150 151.83 151.83 40.26
Sites, in units of the cell vectors:
Hg 0.990 0.990 0.000
Ru 0.303 0.303 0.000
P 0.706 0.706 0.000

=====

Here is a geometry-optimized MnSb4Os structure from the Alexandria database. Energies are from GGA-PBE.

Summary:
**Electronic total energy**: -4.854 eV per atom
**Calculated density**: 7.9 g/cm³
**N(E_F)**: 4.0 states/eV/f.u.

Lattice parameters (Å, degrees): 6.004 6.004 6.004 60.00 60.00 60.00
Sites, in units of the cell vectors:
Sb 0.876 0.375 0.375
Sb 0.375 0.375 0.375
Sb 0.375 0.876 0.375
Sb 0.375 0.375 0.876
Mn 0.750 0.750 0.750
Os 0.000 0.000 0.000

=====

Here is a geometry-optimized MgSe2I structure from the Alexandria database. Energies are from GGA-PBE.

Summary:
**Excess energy over the best structure of this formula in the dataset**: 1.32 eV per formula unit
**Calculated density**: 4.3 g/cm³
**N(E_F)**: 6.7 states/eV/f.u.

Lattice parameters (Å, degrees): 7.369 7.369 6.815 57.27 57.27 90.00
Sites, in units of the cell vectors:
Se 0.375 0.420 0.750
Se 0.580 0.125 0.250
Se 0.875 0.830 0.750
Se 0.170 0.625 0.250
I 0.000 0.000 0.000
I 0.750 0.250 0.500
Mg 0.500 0.500 0.000
Mg 0.250 0.750 0.500

=====

Number 1 is which compound?
MgSc2Pa